Below is crystalline Tm3Ga8Tc3 at its relaxed geometry, with properties calculated at the PBE level.

Summary:
Formation enthalpy at 0 K = -0.450 eV/atom
Final energy = -5.36 eV per atom

a b c (Å): 4.292 8.069 8.069
angles (deg): 71.04 74.57 74.57
Atoms (fractional coordinates):
Ga 0.149 0.487 0.214
Ga 0.636 0.653 0.076
Ga 0.149 0.214 0.487
Ga 0.364 0.924 0.347
Ga 0.636 0.076 0.653
Ga 0.364 0.347 0.924
Ga 0.851 0.513 0.786
Ga 0.851 0.786 0.513
Tm 0.796 0.204 0.204
Tm 0.204 0.796 0.796
Tm 0.500 0.500 0.500
Tc 0.000 0.834 0.166
Tc 0.500 0.000 0.000
Tc 0.000 0.166 0.834

Below is crystalline Tm2Ga8Tc at its relaxed geometry, with properties calculated at the PBE level.

Summary:
Formation enthalpy at 0 K = -0.414 eV/atom
Final energy = -4.37 eV per atom

a b c (Å): 4.250 4.250 11.320
angles (deg): 90.00 90.00 90.00
Atoms (fractional coordinates):
Tc 0.000 0.000 0.000
Ga 0.000 0.500 0.500
Ga 0.500 0.500 0.311
Ga 0.500 0.000 0.875
Ga 0.000 0.500 0.875
Ga 0.000 0.500 0.125
Ga 0.500 0.000 0.125
Ga 0.500 0.000 0.500
Ga 0.500 0.500 0.689
Tm 0.000 0.000 0.689
Tm 0.000 0.000 0.311

Below is crystalline TmUGaTc at its relaxed geometry, with properties calculated at the PBE level.

Summary:
Formation enthalpy at 0 K = 0.043 eV/atom
Final energy = -7.24 eV per atom

a b c (Å): 4.767 4.767 4.767
angles (deg): 60.00 60.00 60.00
Each line ends with the local moment (μB).
Atoms (fractional coordinates):
U 0.250 0.250 0.250  1.44
Tm 0.000 0.000 0.000  0.23
Tc 0.500 0.500 0.500  -0.28
Ga 0.750 0.750 0.750  -0.02

What is the final energy in the second record? -4.37 eV per atom

What is the formula in the second record? Tm2Ga8Tc